Here is a geometry-optimized Sr3IrPb structure from Alexandria. Energies are from PBE-GGA.

Computed properties:
E above lowest polymorph ... 0.00 kcal/mol of atoms
Energy of formation ... -0.202 eV per atom
Crystal system ... cubic
Space group ... Pm-3m
N(E_F) ... 5.458 states/eV/cell

Unit cell a=5.759 b=5.759 c=5.759 alpha=90.00 beta=90.00 gamma=90.00
Atoms (fractional coordinates):
Sr 0.000 0.000 0.500
Sr 0.000 0.500 0.000
Sr 0.500 0.000 0.000
Ir 0.000 0.000 0.000
Pb 0.500 0.500 0.500